Density functional theory data (PBE) for crystalline AlCd3Cu at its relaxed geometry.

Unit cell a=5.1945 b=5.1945 c=5.1945 alpha=90.00 beta=90.00 gamma=90.00
Closest atoms and distances in Å follow each position.
Space group Pm-3m (No. 221)
Asymmetric unit:
1 Al 0.0000 0.0000 0.0000 (multiplicity 1)  6 Cd 2.60
2 Cd 0.0000 0.0000 0.5000 (multiplicity 3)  2 Al 2.60
3 Cu 0.5000 0.5000 0.5000 (multiplicity 1)  12 Cd 3.67

Output
Mass density   5068 kg/m³
Excess energy over the best structure of this formula in the dataset   279 meV/atom
VASP energy   -1.4634 eV/atom


Density functional theory data (PBE) for crystalline AlCd2Cu2 at its relaxed geometry.

Unit cell a=6.4515 b=6.4515 c=4.1313 alpha=90.00 beta=90.00 gamma=90.00
Closest atoms and distances in Å follow each position.
Space group P4/mbm (No. 127)
Asymmetric unit:
1 Al 0.0000 0.0000 0.0000 (multiplicity 2)  4 Cu 2.50
2 Cd 0.1662 0.3338 0.5000 (multiplicity 4)  6 Cu 2.73-2.86, 1 Cd 3.03
3 Cu 0.1385 0.6385 0.0000 (multiplicity 4)  2 Al 2.50, 1 Cu 2.53, 2 Cd 2.73

Output
Mass density   7318 kg/m³
Excess energy over the best structure of this formula in the dataset   0 meV/atom
VASP energy   -2.6838 eV/atom


Density functional theory data (PBE) for crystalline AlCdCu3 at its relaxed geometry.

Unit cell a=4.7835 b=4.7835 c=4.7835 alpha=90.00 beta=90.00 gamma=90.00
Closest atoms and distances in Å follow each position.
Space group Pm-3m (No. 221)
Asymmetric unit:
1 Al 0.0000 0.0000 0.0000 (multiplicity 1)  12 Cu 3.38
2 Cd 0.5000 0.5000 0.5000 (multiplicity 1)  6 Cu 2.39
3 Cu 0.0000 0.5000 0.5000 (multiplicity 3)  2 Cd 2.39

Output
Mass density   5007 kg/m³
Excess energy over the best structure of this formula in the dataset   419 meV/atom
VASP energy   -2.4231 eV/atom


Density functional theory data (PBE) for crystalline AlCdCu2 at its relaxed geometry.

Unit cell a=9.8567 b=2.8684 c=4.6808 alpha=90.00 beta=114.57 gamma=90.00
Closest atoms and distances in Å follow each position.
Space group Cm (No. 8)
Asymmetric unit:
1 Al 0.0000 0.0000 0.0000 (multiplicity 2)  7 Cu 2.64-2.81, 3 Cd 2.83-2.91, 2 Al 2.87
2 Cd 0.2281 0.0000 0.6164 (multiplicity 2)  7 Cu 2.71-2.78, 3 Al 2.83-2.91, 2 Cd 2.87
3 Cu 0.2432 0.5000 0.1208 (multiplicity 2)  4 Cu 2.61-2.87, 3 Al 2.64-2.81, 4 Cd 2.71-2.78
4 Cu 0.4714 0.0000 0.4809 (multiplicity 2)  4 Cu 2.61-2.87, 3 Cd 2.72-2.74, 4 Al 2.73-2.78

Output
Mass density   7353 kg/m³
VASP energy   -3.2140 eV/atom


Density functional theory data (PBE) for crystalline AlCdCu2 at its relaxed geometry.

Unit cell a=6.2173 b=6.2173 c=6.2173 alpha=90.00 beta=90.00 gamma=90.00
Closest atoms and distances in Å follow each position.
Space group F-43m (No. 216)
Asymmetric unit:
1 Al 0.0000 0.0000 0.0000 (multiplicity 4)  4 Cu 2.69, 4 Cd 2.69
2 Cd 0.2500 0.2500 0.2500 (multiplicity 4)  4 Al 2.69, 4 Cu 2.69
3 Cu 0.0000 0.0000 0.5000 (multiplicity 4)  4 Cd 2.69, 4 Cu 2.69
4 Cu 0.2500 0.2500 0.7500 (multiplicity 4)  4 Cu 2.69, 4 Al 2.69

Output
Mass density   7365 kg/m³
VASP energy   -3.1287 eV/atom


Density functional theory data (PBE) for crystalline AlCdCu2 at its relaxed geometry.

Unit cell a=7.1206 b=7.1206 c=5.3275 alpha=90.00 beta=90.00 gamma=90.00
Closest atoms and distances in Å follow each position.
Space group I-42d (No. 122)
Asymmetric unit:
1 Al 0.0000 0.0000 0.0000 (multiplicity 4)  4 Cu 2.48, 2 Cd 2.66
2 Cd 0.0000 0.0000 0.5000 (multiplicity 4)  2 Al 2.66, 4 Cu 2.74
3 Cu 0.2234 0.7500 0.1250 (multiplicity 8)  2 Al 2.48, 2 Cu 2.69, 2 Cd 2.74

Output
Mass density   6553 kg/m³
VASP energy   -2.9367 eV/atom


Density functional theory data (PBE) for crystalline AlCdCu at its relaxed geometry.

Unit cell a=4.1891 b=4.1891 c=21.8784 alpha=90.00 beta=90.00 gamma=120.00
Closest atoms and distances in Å follow each position.
Space group R-3m (No. 166, hexagonal axes)
Asymmetric unit:
1 Al 0.0000 0.0000 0.1281 (multiplicity 6)  4 Cu 2.47-2.54
2 Cd 0.0000 0.0000 0.3728 (multiplicity 6)  4 Cu 2.68-2.89, 3 Cd 2.97
3 Cu 0.0000 0.0000 0.2408 (multiplicity 6)  4 Al 2.47-2.54, 3 Cd 2.68

Output
Mass density   6081 kg/m³
Excess energy over the best structure of this formula in the dataset   0 meV/atom
VASP energy   -2.9127 eV/atom


Density functional theory data (PBE) for crystalline Al4CdCu at its relaxed geometry.

Unit cell a=7.5619 b=7.5619 c=7.5619 alpha=90.00 beta=90.00 gamma=90.00
Closest atoms and distances in Å follow each position.
Space group F-43m (No. 216)
Asymmetric unit:
1 Al 0.1246 0.1246 0.1246 (multiplicity 16)  6 Al 2.66-2.68
2 Cd 0.0000 0.0000 0.5000 (multiplicity 4)  12 Al 3.14, 4 Cu 3.27
3 Cu 0.2500 0.2500 0.7500 (multiplicity 4)  12 Al 3.13, 4 Cd 3.27

Output
Mass density   4361 kg/m³
VASP energy   -3.0570 eV/atom


Density functional theory data (PBE) for crystalline AlCdCu2 at its relaxed geometry.

Unit cell a=2.9641 b=3.2124 c=6.2217 alpha=90.00 beta=90.00 gamma=90.00
Closest atoms and distances in Å follow each position.
Space group Pmmm (No. 47)
Asymmetric unit:
1 Al 0.0000 0.0000 0.0000 (multiplicity 1)  8 Cu 2.56
2 Cd 0.0000 0.0000 0.5000 (multiplicity 1)  8 Cu 2.82, 2 Cd 2.96, 2 Al 3.11
3 Cu 0.5000 0.5000 0.2146 (multiplicity 2)  4 Al 2.56, 1 Cu 2.67, 4 Cd 2.82

Output
Mass density   7469 kg/m³
VASP energy   -3.2915 eV/atom


Density functional theory data (PBE) for crystalline AlCdCu2 at its relaxed geometry.

Unit cell a=2.8574 b=2.8574 c=25.8705 alpha=90.00 beta=90.00 gamma=120.00
Closest atoms and distances in Å follow each position.
Space group R-3m (No. 166, hexagonal axes)
Asymmetric unit:
1 Al 0.0000 0.0000 0.0000 (multiplicity 3)  6 Cu 2.57, 6 Al 2.86
2 Cd 0.0000 0.0000 0.5000 (multiplicity 3)  6 Cd 2.86, 6 Cu 2.86
3 Cu 0.0000 0.0000 0.2570 (multiplicity 6)  3 Al 2.57, 6 Cu 2.86, 3 Cd 2.86

Output
Mass density   7257 kg/m³
VASP energy   -3.1916 eV/atom


Density functional theory data (PBE) for crystalline Al2Cd2Cu at its relaxed geometry.

Unit cell a=6.5647 b=6.5647 c=4.4325 alpha=90.00 beta=90.00 gamma=90.00
Closest atoms and distances in Å follow each position.
Space group P4/mbm (No. 127)
Asymmetric unit:
1 Al 0.1471 0.3529 0.0000 (multiplicity 4)  2 Cu 2.51, 1 Al 2.73
2 Cd 0.1658 0.6658 0.5000 (multiplicity 4)  6 Al 2.82-3.02, 1 Cd 3.08
3 Cu 0.0000 0.0000 0.0000 (multiplicity 2)  4 Al 2.51

Output
Mass density   5952 kg/m³
Excess energy over the best structure of this formula in the dataset   0 meV/atom
VASP energy   -2.5287 eV/atom


Density functional theory data (PBE) for crystalline AlCdCu2 at its relaxed geometry.

Unit cell a=2.8955 b=4.3724 c=4.7441 alpha=90.00 beta=90.00 gamma=90.00
Closest atoms and distances in Å follow each position.
Space group Pmm2 (No. 25)
Asymmetric unit:
1 Al 0.0000 0.0000 0.0000 (multiplicity 1)  6 Cu 2.57-2.68, 2 Cd 2.86
2 Cd 0.0000 0.5000 0.6109 (multiplicity 1)  8 Cu 2.74-2.79, 2 Al 2.86, 2 Cd 2.90
3 Cu 0.5000 0.0000 0.4470 (multiplicity 1)  2 Al 2.57, 2 Cu 2.70, 4 Cd 2.74
4 Cu 0.5000 0.5000 0.1132 (multiplicity 1)  4 Al 2.68, 4 Cu 2.70-2.90, 4 Cd 2.77-2.79

Output
Mass density   7367 kg/m³
VASP energy   -3.2488 eV/atom